First-principles (GGA-PBE) data for a relaxed BiPAuS crystal, as listed in Alexandria via LeMat-Bulk.

raw total energy	-4.1363	eV per atom
density	7.92	Mg/m³
formation energy without anion corrections	0.15	eV per formula unit
offset from the most stable computed form	84	meV/atom
DOS at the Fermi energy	3.12	states/eV/cell

Cell lengths 5.9507, 3.4837, 10.7395 Å; angles 90.00, 117.99, 90.00 degrees
With the nearest neighbours (Å) after each atom.
Positions (direct):
Bi 0.6716 0.0000 0.2644  1 P 2.75, 2 Au 2.97-3.04
Bi 0.6716 0.5000 0.7644  1 P 2.75, 2 Au 2.97-3.04
P 0.3082 0.0000 0.9860  1 S 2.08
P 0.3082 0.5000 0.4860  1 S 2.08
Au 0.2133 0.0000 0.3072  2 P 2.45, 1 S 2.48
Au 0.2133 0.5000 0.8072  2 P 2.45, 1 S 2.48
S 0.0237 0.0000 0.0462  1 P 2.08
S 0.0237 0.5000 0.5462  1 P 2.08